(1)
VASP calculation (PBE) on a relaxed structure of K3IBrF.

Mass density: 2.667 Mg/m³
Energy relative to the elements, uncorrected: -186.6 kJ per mole of atoms
Raw total energy: -39.98 eV/cell
Size of the total moment: 0.00 μB per formula unit
Space-group type: C2/m, No. 12

abc: 9.368 9.368 9.415
angles: 104.00 104.00 32.31
Atoms (fractional coordinates):
K 0.001 0.001 0.270
K 0.349 0.349 0.664
K 0.353 0.353 0.194
K 0.647 0.647 0.806
K 0.651 0.651 0.336
K 0.999 0.999 0.730
I 0.149 0.149 0.071
I 0.851 0.851 0.929
Br 0.153 0.153 0.573
Br 0.847 0.847 0.427
F 0.498 0.498 0.728
F 0.502 0.502 0.272



(2)
VASP calculation (PBE) on a relaxed structure of LaIBrF.

Mass density: 4.722 Mg/m³
Energy relative to the elements, uncorrected: -250.1 kJ per mole of atoms
Raw total energy: -20.39 eV/cell
Size of the total moment: 0.00 μB per formula unit
Space-group type: R3m, No. 160

abc: 8.450 8.450 8.450
angles: 29.35 29.35 29.35
Atoms (fractional coordinates):
La 0.000 0.000 0.000
I 0.426 0.426 0.426
Br 0.253 0.253 0.253
F 0.666 0.666 0.666



Copy entry 2 word for word.
VASP calculation (PBE) on a relaxed structure of LaIBrF.

Mass density: 4.722 Mg/m³
Energy relative to the elements, uncorrected: -250.1 kJ per mole of atoms
Raw total energy: -20.39 eV/cell
Size of the total moment: 0.00 μB per formula unit
Space-group type: R3m, No. 160

abc: 8.450 8.450 8.450
angles: 29.35 29.35 29.35
Atoms (fractional coordinates):
La 0.000 0.000 0.000
I 0.426 0.426 0.426
Br 0.253 0.253 0.253
F 0.666 0.666 0.666